1.
First-principles (PBE-GGA) data for a geometry-optimized PaCu2Ag2Te4 structure, as listed in Alexandria.

Output
For the formation energy from raw total energies, the calculation gives -0.2764 eV per atom. The volume comes out at 475.0 Å³ per cell.

a = 15.655 Å, b = 4.231 Å, c = 8.438 Å
α = 90.00°, β = 121.80°, γ = 90.00°
Space group C2/m (No. 12)
Unique sites:
Pa 0.000 0.000 0.000 (multiplicity 2)
Cu 0.176 0.500 0.991 (multiplicity 4)
Ag 0.167 0.000 0.480 (multiplicity 4)
Te 0.011 0.500 0.276 (multiplicity 4)
Te 0.235 0.000 0.213 (multiplicity 4)

2.
First-principles (PBE-GGA) data for a geometry-optimized Na2Al3NiAu12 structure, as listed in Alexandria.

Output
The volume comes out at 1206.8 Å³ per cell. The energy of formation comes out at -0.0178 eV per atom.

a = 8.4151 Å, b = 8.4151 Å, c = 19.6782 Å
α = 90.00°, β = 90.00°, γ = 120.00°
Space group R-3m (No. 166, hexagonal axes)
Unique sites:
Na 0.0000 0.0000 0.1249 (multiplicity 6)
Al 0.0000 0.5000 0.0000 (multiplicity 9)
Ni 0.0000 0.0000 0.5000 (multiplicity 3)
Au 0.0060 0.5030 0.1259 (multiplicity 18)
Au 0.0078 0.5039 0.3733 (multiplicity 18)

3.
First-principles (PBE-GGA) data for a geometry-optimized In3HgAu structure, as listed in Alexandria.

Output
Its polymorph energy (0 for the lowest one) is 0.000 eV/atom. The volume comes out at 268.6 Å³ per cell. The energy of formation comes out at -0.0381 eV per atom.

a = 5.657 Å, b = 5.955 Å, c = 7.993 Å
α = 90.00°, β = 93.95°, γ = 90.00°
Space group Pm (No. 6)
Unique sites:
In 0.000 0.000 0.000 (multiplicity 1)
In 0.095 0.500 0.547 (multiplicity 1)
In 0.448 0.500 0.909 (multiplicity 1)
In 0.550 0.250 0.274 (multiplicity 2)
In 0.646 0.000 0.639 (multiplicity 1)
Hg 0.006 0.500 0.125 (multiplicity 1)
Hg 0.091 0.000 0.422 (multiplicity 1)
Au 0.489 0.000 0.961 (multiplicity 1)
Au 0.606 0.500 0.587 (multiplicity 1)

4.
First-principles (PBE-GGA) data for a geometry-optimized Cs12Tl3Pd5 structure, as listed in Alexandria.

Output
The volume comes out at 9943.9 Å³ per cell. The energy of formation comes out at 0.2332 eV per atom.

a = 21.504 Å, b = 21.504 Å, c = 21.504 Å
α = 90.00°, β = 90.00°, γ = 90.00°
Space group Ia-3d (No. 230)
Unique sites:
Cs 0.035 0.057 0.645 (multiplicity 96)
Tl 0.000 0.250 0.125 (multiplicity 24)
Pd 0.000 0.000 0.000 (multiplicity 16)
Pd 0.000 0.250 0.375 (multiplicity 24)

5.
First-principles (PBE-GGA) data for a geometry-optimized RbNaN2O structure, as listed in Alexandria.

Output
For the formation energy from raw total energies, the calculation gives 1.6806 eV per atom. The volume comes out at 144.8 Å³ per cell.

a = 5.384 Å, b = 5.384 Å, c = 4.993 Å
α = 90.00°, β = 90.00°, γ = 90.00°
Space group P4/mmm (No. 123)
Unique sites:
Rb 0.000 0.000 0.000 (multiplicity 1)
Na 0.500 0.500 0.500 (multiplicity 1)
N 0.000 0.500 0.000 (multiplicity 2)
O 0.000 0.000 0.500 (multiplicity 1)

6.
First-principles (PBE-GGA) data for a geometry-optimized KCuHgSe2 structure, as listed in Alexandria.

Output
For the formation energy from raw total energies, the calculation gives -0.5003 eV per atom. The volume comes out at 293.4 Å³ per cell.

a = 7.270 Å, b = 5.503 Å, c = 7.561 Å
α = 90.00°, β = 104.08°, γ = 90.00°
Space group P2/c (No. 13)
Unique sites:
K 0.000 0.221 0.250 (multiplicity 2)
Cu 0.500 0.000 0.000 (multiplicity 2)
Hg 0.500 0.457 0.250 (multiplicity 2)
Se 0.266 0.282 0.938 (multiplicity 4)

7.
First-principles (PBE-GGA) data for a geometry-optimized LiHgBr2 structure, as listed in Alexandria.

Output
Its polymorph energy (0 for the lowest one) is 0.481 eV/atom. For the formation energy from raw total energies, the calculation gives -0.3187 eV per atom. The volume comes out at 431.5 Å³ per cell.

a = 7.557 Å, b = 7.557 Å, c = 7.557 Å
α = 90.00°, β = 90.00°, γ = 90.00°
Space group F-43m (No. 216)
Unique sites:
Li 0.000 0.000 0.000 (multiplicity 4)
Hg 0.250 0.250 0.750 (multiplicity 4)
Br 0.000 0.000 0.500 (multiplicity 4)
Br 0.250 0.250 0.250 (multiplicity 4)

8.
First-principles (PBE-GGA) data for a geometry-optimized CaLa2ScP structure, as listed in Alexandria.

Output
The volume comes out at 169.3 Å³ per cell. The energy of formation comes out at -0.4765 eV per atom.

a = 5.792 Å, b = 5.792 Å, c = 5.047 Å
α = 90.00°, β = 90.00°, γ = 90.00°
Space group P4/mmm (No. 123)
Unique sites:
Ca 0.000 0.000 0.000 (multiplicity 1)
La 0.000 0.500 0.500 (multiplicity 2)
Sc 0.500 0.500 0.000 (multiplicity 1)
P 0.500 0.500 0.500 (multiplicity 1)

9.
First-principles (PBE-GGA) data for a geometry-optimized Cs2Pb3 structure, as listed in Alexandria.

Output
Its polymorph energy (0 for the lowest one) is 0.000 eV/atom. The volume comes out at 940.6 Å³ per cell. The energy of formation comes out at -0.1936 eV per atom.

a = 14.181 Å, b = 8.349 Å, c = 8.333 Å
α = 90.00°, β = 107.55°, γ = 90.00°
Space group C2/c (No. 15)
Unique sites:
Cs 0.172 0.094 0.165 (multiplicity 8)
Pb 0.000 0.273 0.750 (multiplicity 4)
Pb 0.083 0.408 0.436 (multiplicity 8)

10.
First-principles (PBE-GGA) data for a geometry-optimized AcGaPdPt3 structure, as listed in Alexandria.

Output
The volume comes out at 502.4 Å³ per cell. The energy of formation comes out at -0.5994 eV per atom.

a = 7.182 Å, b = 11.965 Å, c = 5.846 Å
α = 90.00°, β = 90.00°, γ = 90.00°
Space group Cmcm (No. 63)
Unique sites:
Ac 0.000 0.217 0.250 (multiplicity 4)
Ga 0.000 0.124 0.750 (multiplicity 4)
Pd 0.000 0.450 0.250 (multiplicity 4)
Pt 0.000 0.327 0.750 (multiplicity 4)
Pt 0.198 0.000 0.000 (multiplicity 8)

11.
First-principles (PBE-GGA) data for a geometry-optimized TcOs2Br structure, as listed in Alexandria.

Output
Its polymorph energy (0 for the lowest one) is 0.008 eV/atom. For the formation energy from raw total energies, the calculation gives 0.6968 eV per atom. The volume comes out at 209.7 Å³ per cell.

a = 2.7632 Å, b = 2.7632 Å, c = 31.7099 Å
α = 90.00°, β = 90.00°, γ = 120.00°
Space group R-3m (No. 166, hexagonal axes)
Unique sites:
Tc 0.0000 0.0000 0.0000 (multiplicity 3)
Os 0.0000 0.0000 0.2664 (multiplicity 6)
Br 0.0000 0.0000 0.5000 (multiplicity 3)

12.
First-principles (PBE-GGA) data for a geometry-optimized Tb2ThZn2Ga2 structure, as listed in Alexandria.

Output
The volume comes out at 487.6 Å³ per cell. The energy of formation comes out at -0.3639 eV per atom.

a = 4.4035 Å, b = 4.4035 Å, c = 29.0374 Å
α = 90.00°, β = 90.00°, γ = 120.00°
Space group R-3m (No. 166, hexagonal axes)
Unique sites:
Tb 0.0000 0.0000 0.1278 (multiplicity 6)
Th 0.0000 0.0000 0.0000 (multiplicity 3)
Zn 0.0000 0.0000 0.3993 (multiplicity 6)
Ga 0.0000 0.0000 0.2596 (multiplicity 6)

13.
First-principles (PBE-GGA) data for a geometry-optimized HoZn2Cu6 structure, as listed in Alexandria.

Output
The volume comes out at 273.9 Å³ per cell. The energy of formation comes out at 0.0136 eV per atom.

a = 3.165 Å, b = 6.897 Å, c = 12.544 Å
α = 90.00°, β = 90.00°, γ = 90.00°
Space group Immm (No. 71)
Unique sites:
Ho 0.000 0.000 0.000 (multiplicity 2)
Zn 0.000 0.500 0.143 (multiplicity 4)
Cu 0.000 0.169 0.500 (multiplicity 4)
Cu 0.000 0.315 0.321 (multiplicity 8)

14.
First-principles (PBE-GGA) data for a geometry-optimized MgSeO3 structure, as listed in Alexandria.

Output
For the formation energy from raw total energies, the calculation gives -0.2671 eV per atom. The volume comes out at 55.2 Å³ per cell.

a = 3.808 Å, b = 3.808 Å, c = 3.808 Å
α = 90.00°, β = 90.00°, γ = 90.00°
Space group Pm-3m (No. 221)
Unique sites:
Mg 0.000 0.000 0.000 (multiplicity 1)
Se 0.500 0.500 0.500 (multiplicity 1)
O 0.000 0.000 0.500 (multiplicity 3)

15.
First-principles (PBE-GGA) data for a geometry-optimized KBa2Ir3O12 structure, as listed in Alexandria.

Output
For the formation energy from raw total energies, the calculation gives -1.2329 eV per atom. The volume comes out at 795.1 Å³ per cell.

a = 7.3089 Å, b = 7.3089 Å, c = 17.1861 Å
α = 90.00°, β = 90.00°, γ = 120.00°
Space group R-3m (No. 166, hexagonal axes)
Unique sites:
K 0.0000 0.0000 0.0000 (multiplicity 3)
Ba 0.0000 0.0000 0.3928 (multiplicity 6)
Ir 0.0000 0.5000 0.5000 (multiplicity 9)
O 0.0528 0.5264 0.8128 (multiplicity 18)
O 0.0713 0.5357 0.3965 (multiplicity 18)

16.
First-principles (PBE-GGA) data for a geometry-optimized Tl2OsBr structure, as listed in Alexandria.

Output
Its polymorph energy (0 for the lowest one) is 0.269 eV/atom. For the formation energy from raw total energies, the calculation gives 0.8523 eV per atom. The volume comes out at 584.3 Å³ per cell.

a = 6.364 Å, b = 6.364 Å, c = 14.429 Å
α = 90.00°, β = 90.00°, γ = 90.00°
Space group I-42d (No. 122)
Unique sites:
Tl 0.167 0.250 0.125 (multiplicity 8)
Os 0.000 0.000 0.000 (multiplicity 4)
Br 0.000 0.000 0.500 (multiplicity 4)

17.
First-principles (PBE-GGA) data for a geometry-optimized BaMg2GeRu structure, as listed in Alexandria.

Output
The volume comes out at 126.0 Å³ per cell. The energy of formation comes out at -0.2696 eV per atom.

a = 5.114 Å, b = 5.114 Å, c = 4.819 Å
α = 90.00°, β = 90.00°, γ = 90.00°
Space group P4/mmm (No. 123)
Unique sites:
Ba 0.000 0.000 0.000 (multiplicity 1)
Mg 0.000 0.500 0.500 (multiplicity 2)
Ge 0.500 0.500 0.000 (multiplicity 1)
Ru 0.500 0.500 0.500 (multiplicity 1)

18.
First-principles (PBE-GGA) data for a geometry-optimized ZrIrPdAu structure, as listed in Alexandria.

Output
The volume comes out at 276.2 Å³ per cell. The energy of formation comes out at -0.4788 eV per atom.

a = 6.512 Å, b = 6.512 Å, c = 6.512 Å
α = 90.00°, β = 90.00°, γ = 90.00°
Space group F-43m (No. 216)
Unique sites:
Zr 0.000 0.000 0.000 (multiplicity 4)
Ir 0.250 0.250 0.750 (multiplicity 4)
Pd 0.250 0.250 0.250 (multiplicity 4)
Au 0.000 0.000 0.500 (multiplicity 4)

19.
First-principles (PBE-GGA) data for a geometry-optimized BaLaHg structure, as listed in Alexandria.

Output
Its polymorph energy (0 for the lowest one) is 0.117 eV/atom. The volume comes out at 116.3 Å³ per cell. The energy of formation comes out at -0.1676 eV per atom.

a = 5.4962 Å, b = 5.4962 Å, c = 4.4440 Å
α = 90.00°, β = 90.00°, γ = 120.00°
Space group P-6m2 (No. 187)
Unique sites:
Ba 0.0000 0.0000 0.0000 (multiplicity 1)
La 0.3333 0.6667 0.5000 (multiplicity 1)
Hg 0.6667 0.3333 0.5000 (multiplicity 1)

20.
First-principles (PBE-GGA) data for a geometry-optimized BeRhPb2 structure, as listed in Alexandria.

Output
The volume comes out at 340.7 Å³ per cell. The energy of formation comes out at 0.5718 eV per atom.

a = 7.248 Å, b = 7.248 Å, c = 6.486 Å
α = 90.00°, β = 90.00°, γ = 90.00°
Space group I-42d (No. 122)
Unique sites:
Be 0.000 0.000 0.000 (multiplicity 4)
Rh 0.000 0.000 0.500 (multiplicity 4)
Pb 0.232 0.250 0.125 (multiplicity 8)

21.
First-principles (PBE-GGA) data for a geometry-optimized AlCr2Se structure, as listed in Alexandria.

Output
Its polymorph energy (0 for the lowest one) is 0.321 eV/atom. For the formation energy from raw total energies, the calculation gives 0.3253 eV per atom. The volume comes out at 246.2 Å³ per cell.

a = 6.268 Å, b = 6.268 Å, c = 6.268 Å
α = 90.00°, β = 90.00°, γ = 90.00°
Space group F-43m (No. 216)
Unique sites:
Al 0.000 0.000 0.000 (multiplicity 4)
Cr 0.000 0.000 0.500 (multiplicity 4)
Cr 0.250 0.250 0.750 (multiplicity 4)
Se 0.250 0.250 0.250 (multiplicity 4)